1.
This record from Alexandria via LeMat-Bulk describes crystalline PrScCuSi at its relaxed geometry. The functional is PBE-GGA.

Geometry as POSCAR:
```
PrScCuSi
1.0
6.942 0.000 0.000
0.000 6.942 0.000
0.000 0.000 6.942
Pr Sc Cu Si
4 4 4 4
Direct
0.000 0.000 0.000 Pr
0.000 0.500 0.500 Pr
0.500 0.000 0.500 Pr
0.500 0.500 0.000 Pr
0.000 0.000 0.500 Sc
0.000 0.500 0.000 Sc
0.500 0.000 0.000 Sc
0.500 0.500 0.500 Sc
0.250 0.250 0.750 Cu
0.250 0.750 0.250 Cu
0.750 0.250 0.250 Cu
0.750 0.750 0.750 Cu
0.250 0.250 0.250 Si
0.250 0.750 0.750 Si
0.750 0.250 0.750 Si
0.750 0.750 0.250 Si
```

Computed properties:
Its mass density is 5509 kg/m³. Its calculated total energy is -5.51 eV/atom. The value obtained for the magnetic moment is 0.000 μB/atom. The symmetry is F-43m.

=====

2.
This record from Alexandria via LeMat-Bulk describes crystalline PrScCuSn at its relaxed geometry. The functional is PBE-GGA.

Geometry as POSCAR:
```
PrScCuSn
1.0
7.248 0.000 0.000
0.000 7.248 0.000
0.000 0.000 7.248
Pr Sc Cu Sn
4 4 4 4
Direct
0.000 0.000 0.000 Pr
0.000 0.500 0.500 Pr
0.500 0.000 0.500 Pr
0.500 0.500 0.000 Pr
0.000 0.000 0.500 Sc
0.000 0.500 0.000 Sc
0.500 0.000 0.000 Sc
0.500 0.500 0.500 Sc
0.250 0.250 0.250 Cu
0.250 0.750 0.750 Cu
0.750 0.250 0.750 Cu
0.750 0.750 0.250 Cu
0.250 0.250 0.750 Sn
0.250 0.750 0.250 Sn
0.750 0.250 0.250 Sn
0.750 0.750 0.750 Sn
```

Computed properties:
Its mass density is 6421 kg/m³. Its calculated total energy is -5.17 eV/atom. The value obtained for the magnetic moment is 0.001 μB/atom. The formation energy comes out at -370 meV/atom. The symmetry is F-43m.

=====

- calculated total energy of number 1 (PrScCuSi)?
  -5.51 eV/atom

=====

- calculated total energy of number 1 (PrScCuSi)?
  -5.51 eV/atom

=====

Copy entry 2 word for word.
This record from Alexandria via LeMat-Bulk describes crystalline PrScCuSn at its relaxed geometry. The functional is PBE-GGA.

Geometry as POSCAR:
```
PrScCuSn
1.0
7.248 0.000 0.000
0.000 7.248 0.000
0.000 0.000 7.248
Pr Sc Cu Sn
4 4 4 4
Direct
0.000 0.000 0.000 Pr
0.000 0.500 0.500 Pr
0.500 0.000 0.500 Pr
0.500 0.500 0.000 Pr
0.000 0.000 0.500 Sc
0.000 0.500 0.000 Sc
0.500 0.000 0.000 Sc
0.500 0.500 0.500 Sc
0.250 0.250 0.250 Cu
0.250 0.750 0.750 Cu
0.750 0.250 0.750 Cu
0.750 0.750 0.250 Cu
0.250 0.250 0.750 Sn
0.250 0.750 0.250 Sn
0.750 0.250 0.250 Sn
0.750 0.750 0.750 Sn
```

Computed properties:
Its mass density is 6421 kg/m³. Its calculated total energy is -5.17 eV/atom. The value obtained for the magnetic moment is 0.001 μB/atom. The formation energy comes out at -370 meV/atom. The symmetry is F-43m.